[1]
The following is a PBE calculation of a relaxed structure of ReAuCl2, from Alexandria.

Calculated values
E_form (uncorrected) in eV/atom: 1.27
Volume in A^3/atom: 17.107
Crystal system: cubic
D(E_F) in states/eV/cell: 3.995

POSCAR file:
```
ReAuCl2
1.0
0.0000 3.2464 3.2464
3.2464 0.0000 3.2464
3.2464 3.2464 0.0000
Re Au Cl
1 1 2
direct
0.0000 0.0000 0.0000
0.5000 0.5000 0.5000
0.2500 0.2500 0.2500
0.7500 0.7500 0.7500
```

[2]
The following is a PBE calculation of a relaxed structure of Cd2Ag2Pd2Au, from Alexandria.

Calculated values
Volume in A^3/atom: 17.828
Formation enthalpy at 0 K in eV per atom: -0.175
Crystal system: monoclinic
D(E_F) in states/eV/cell: 2.449

POSCAR file:
```
Cd2Ag2Pd2Au
1.0
4.6242 -2.1051 0.0000
4.6242 2.1051 0.0000
-0.8169 0.0000 6.4101
Cd Ag Pd Au
2 2 2 1
direct
0.2128 0.2128 0.1654
0.7872 0.7872 0.8346
0.0756 0.0756 0.7067
0.9244 0.9244 0.2933
0.3613 0.3613 0.5756
0.6387 0.6387 0.4244
0.5000 0.5000 0.0000
```

[3]
The following is a PBE calculation of a relaxed structure of Mn3AsCl, from Alexandria.

Calculated values
E_form (uncorrected) in eV/atom: 0.45
Volume in A^3/atom: 22.604
Crystal system: cubic
D(E_F) in states/eV/cell: 5.780

POSCAR file:
```
Mn3AsCl
1.0
4.8349 0.0000 0.0000
0.0000 4.8349 0.0000
0.0000 0.0000 4.8349
Mn As Cl
3 1 1
direct
0.0000 0.0000 0.5000
0.0000 0.5000 0.0000
0.5000 0.0000 0.0000
0.0000 0.0000 0.0000
0.5000 0.5000 0.5000
```

[4]
The following is a PBE calculation of a relaxed structure of YHg2OsCl, from Alexandria.

Calculated values
E_form (uncorrected) in eV/atom: 0.98
Volume in A^3/atom: 35.532
Crystal system: tetragonal
D(E_F) in states/eV/cell: 5.793

POSCAR file:
```
YHg2OsCl
1.0
5.9248 0.0000 0.0000
0.0000 5.9248 0.0000
0.0000 0.0000 5.0611
Y Hg Os Cl
1 2 1 1
direct
0.0000 0.0000 0.0000
0.0000 0.5000 0.0000
0.5000 0.0000 0.0000
0.5000 0.5000 0.5000
0.0000 0.0000 0.5000
```

[5]
The following is a PBE calculation of a relaxed structure of K2InRu, from Alexandria.

Calculated values
Volume in A^3/atom: 33.172
Formation enthalpy at 0 K in eV per atom: 0.613
Crystal system: orthorhombic
D(E_F) in states/eV/cell: 5.482

POSCAR file:
```
K2InRu
1.0
-2.2720 2.9206 4.9992
2.2720 -2.9206 4.9992
2.2720 2.9206 -4.9992
K In Ru
2 1 1
direct
0.0000 0.0000 0.0000
0.7005 0.2005 0.5000
0.4132 0.4132 0.0000
0.2912 0.7912 0.5000
```

[6]
The following is a PBE calculation of a relaxed structure of CaHI2, from Alexandria.

Calculated values
Volume in A^3/atom: 32.935
Crystal system: monoclinic
D(E_F) in states/eV/cell: 0.000
Raw total energy in eV/atom: -3.265

POSCAR file:
```
CaHI2
1.0
8.1705 -2.2359 0.0000
8.1705 2.2359 0.0000
-1.0564 0.0000 7.2112
Ca H I
2 2 4
direct
0.0000 0.0000 0.0000
0.2460 0.2460 0.9321
0.7457 0.7457 0.1410
0.7880 0.7880 0.1062
0.1562 0.1562 0.2805
0.4170 0.4170 0.2098
0.5914 0.5914 0.7787
0.8351 0.8351 0.7134
```

[7]
The following is a PBE calculation of a relaxed structure of TiAgH3, from Alexandria.

Calculated values
Volume in A^3/atom: 9.291
Crystal system: cubic
D(E_F) in states/eV/cell: 2.242
Raw total energy in eV/atom: -4.078

POSCAR file:
```
TiAgH3
1.0
3.5948 0.0000 0.0000
0.0000 3.5948 0.0000
0.0000 0.0000 3.5948
Ti Ag H
1 1 3
direct
0.0000 0.0000 0.0000
0.5000 0.5000 0.5000
0.0000 0.0000 0.5000
0.0000 0.5000 0.0000
0.5000 0.0000 0.0000
```

[8]
The following is a PBE calculation of a relaxed structure of Al2HgO, from Alexandria.

Calculated values
E_form (uncorrected) in eV/atom: -0.73
Volume in A^3/atom: 17.555
Crystal system: tetragonal
D(E_F) in states/eV/cell: 0.699

POSCAR file:
```
Al2HgO
1.0
-2.6816 2.6816 4.8827
2.6816 -2.6816 4.8827
2.6816 2.6816 -4.8827
Al Hg O
4 2 2
direct
0.0168 0.6250 0.8918
0.3750 0.2668 0.3918
0.7332 0.1250 0.1082
0.8750 0.9832 0.6082
0.2500 0.7500 0.5000
0.5000 0.5000 0.0000
0.0000 0.0000 0.0000
0.7500 0.2500 0.5000
```

[9]
The following is a PBE calculation of a relaxed structure of TbMg4Cd, from Alexandria.

Calculated values
Volume in A^3/atom: 24.622
Formation enthalpy at 0 K in eV per atom: 0.022
Crystal system: cubic
D(E_F) in states/eV/cell: 4.507

POSCAR file:
```
TbMg4Cd
1.0
0.0000 4.1958 4.1958
4.1958 0.0000 4.1958
4.1958 4.1958 0.0000
Tb Mg Cd
1 4 1
direct
0.0000 0.0000 0.0000
0.1232 0.6256 0.6256
0.6256 0.1232 0.6256
0.6256 0.6256 0.1232
0.6256 0.6256 0.6256
0.2500 0.2500 0.2500
```

[10]
The following is a PBE calculation of a relaxed structure of TlNiTe2, from Alexandria.

Calculated values
E_form (uncorrected) in eV/atom: 0.41
Volume in A^3/atom: 25.348
Crystal system: tetragonal
D(E_F) in states/eV/cell: 2.584

POSCAR file:
```
TlNiTe2
1.0
5.6373 0.0000 0.0000
0.0000 5.6373 0.0000
0.0000 0.0000 3.1905
Tl Ni Te
1 1 2
direct
0.0000 0.0000 0.0000
0.5000 0.5000 0.0000
0.0000 0.5000 0.5000
0.5000 0.0000 0.5000
```

[11]
The following is a PBE calculation of a relaxed structure of NaSnOsC2, from Alexandria.

Calculated values
Volume in A^3/atom: 17.949
Formation enthalpy at 0 K in eV per atom: 1.156
Crystal system: tetragonal
D(E_F) in states/eV/cell: 3.373

POSCAR file:
```
NaSnOsC2
1.0
3.9885 0.0000 0.0000
0.0000 3.9885 0.0000
0.0000 0.0000 5.6413
Na Sn Os C
1 1 1 2
direct
0.0000 0.0000 0.0000
0.5000 0.5000 0.0000
0.5000 0.5000 0.5000
0.0000 0.5000 0.5000
0.5000 0.0000 0.5000
```

[12]
The following is a PBE calculation of a relaxed structure of AgMoRh2, from Alexandria.

Calculated values
Volume in A^3/atom: 15.206
Formation enthalpy at 0 K in eV per atom: 0.174
Crystal system: tetragonal
D(E_F) in states/eV/cell: 3.871

POSCAR file:
```
AgMoRh2
1.0
-1.9204 1.9204 4.1231
1.9204 -1.9204 4.1231
1.9204 1.9204 -4.1231
Ag Mo Rh
1 1 2
direct
0.0000 0.0000 0.0000
0.7500 0.2500 0.5000
0.2500 0.7500 0.5000
0.5000 0.5000 0.0000
```